# 1
Rb3Bi5Cl12 GGA-PBE optimized geometry; calculated density = 3.42 g cm⁻³; formation energy without anion corrections = -0.8727 eV per atom; crystal system = cubic
1.0
-9.430 9.430 9.430
9.430 -9.430 9.430
9.430 9.430 -9.430
Rb Bi Cl
12 20 48
Cartesian
4.715 2.357 0.000 Rb
9.430 4.715 -2.357 Rb
2.357 0.000 4.715 Rb
11.787 0.000 4.715 Rb
0.000 4.715 2.357 Rb
4.715 -2.357 9.430 Rb
4.715 11.787 0.000 Rb
9.430 4.715 7.072 Rb
-2.357 9.430 4.715 Rb
7.072 9.430 4.715 Rb
0.000 4.715 11.787 Rb
4.715 7.072 9.430 Rb
0.000 0.000 0.000 Bi
4.715 4.715 -4.715 Bi
4.715 -4.715 4.715 Bi
9.430 0.000 0.000 Bi
14.145 2.357 0.000 Bi
9.430 -4.715 7.072 Bi
7.072 9.430 -4.715 Bi
7.072 0.000 4.715 Bi
4.715 7.072 0.000 Bi
9.430 4.715 2.357 Bi
-4.715 4.715 4.715 Bi
0.000 9.430 0.000 Bi
0.000 0.000 9.430 Bi
4.715 4.715 4.715 Bi
0.000 4.715 7.072 Bi
4.715 2.357 9.430 Bi
2.357 9.430 4.715 Bi
2.357 0.000 14.145 Bi
0.000 14.145 2.357 Bi
-4.715 7.072 9.430 Bi
2.723 -0.187 0.485 Cl
11.422 5.200 -4.901 Cl
12.153 0.187 0.485 Cl
11.422 -4.230 4.901 Cl
9.243 -0.485 2.723 Cl
14.331 -1.992 4.230 Cl
0.485 2.723 -0.187 Cl
13.660 4.528 -1.992 Cl
5.200 4.901 -1.992 Cl
8.945 2.723 0.187 Cl
-0.187 0.485 2.723 Cl
4.901 -1.992 5.200 Cl
9.243 8.945 -2.723 Cl
4.901 1.992 4.230 Cl
5.200 -4.901 11.422 Cl
8.945 -2.723 9.243 Cl
4.230 4.901 1.992 Cl
9.915 6.707 0.187 Cl
4.901 11.422 -4.230 Cl
9.243 0.485 6.707 Cl
2.723 9.243 -0.485 Cl
11.422 4.230 4.528 Cl
1.992 4.230 4.901 Cl
2.723 0.187 8.945 Cl
6.707 9.243 0.485 Cl
7.438 5.200 4.528 Cl
-1.992 5.200 4.901 Cl
6.707 0.187 9.915 Cl
0.187 8.945 2.723 Cl
4.528 -1.992 13.660 Cl
-0.485 2.723 9.243 Cl
5.200 4.528 7.438 Cl
0.485 12.153 0.187 Cl
4.230 14.331 -1.992 Cl
4.528 7.438 5.200 Cl
0.187 0.485 12.153 Cl
4.528 11.422 4.230 Cl
9.616 8.945 6.707 Cl
0.485 6.707 9.243 Cl
4.230 4.528 11.422 Cl
-4.230 4.901 11.422 Cl
8.945 6.707 9.616 Cl
-4.901 11.422 5.200 Cl
0.187 9.915 6.707 Cl
-1.992 13.660 4.528 Cl
-2.723 9.243 8.945 Cl
-1.992 4.230 14.331 Cl
6.707 9.616 8.945 Cl


# 2
RbBiCl6 GGA-PBE optimized geometry; calculated density = 2.08 g cm⁻³; formation energy without anion corrections = -0.8383 eV per atom; crystal system = cubic
1.0
0.000 5.872 5.872
5.872 0.000 5.872
5.872 5.872 0.000
Rb Bi Cl
1 1 6
Cartesian
0.000 0.000 0.000 Rb
5.872 5.872 5.872 Bi
5.872 5.872 3.355 Cl
5.872 3.355 5.872 Cl
8.390 5.872 5.872 Cl
3.355 5.872 5.872 Cl
5.872 8.390 5.872 Cl
5.872 5.872 8.390 Cl


# 3
Rb4BiCl GGA-PBE optimized geometry; calculated density = 3.25 g cm⁻³; formation energy without anion corrections = -0.8244 eV per atom; crystal system = monoclinic
1.0
12.206 0.000 0.000
0.000 7.908 0.000
-3.404 0.000 12.417
Rb Bi Cl
16 4 4
Cartesian
0.595 0.035 1.901 Rb
-1.107 3.919 8.109 Rb
0.911 4.021 1.844 Rb
-0.791 7.841 8.052 Rb
2.298 5.892 5.625 Rb
0.596 5.971 11.834 Rb
3.987 1.558 2.769 Rb
2.286 2.396 8.978 Rb
6.516 5.513 3.439 Rb
4.814 6.350 9.648 Rb
8.206 1.938 0.583 Rb
6.504 2.017 6.792 Rb
9.593 0.067 4.365 Rb
7.891 3.887 10.574 Rb
9.909 3.989 4.308 Rb
8.207 7.874 10.517 Rb
-0.822 1.965 11.452 Bi
0.880 1.989 5.243 Bi
7.922 5.920 7.174 Bi
9.624 5.943 0.965 Bi
1.725 5.721 8.808 Cl
3.427 6.141 2.600 Cl
5.375 1.767 9.817 Cl
7.077 2.187 3.609 Cl


# 4
RbBiSCl2 GGA-PBE optimized geometry; calculated density = 3.95 g cm⁻³; formation energy without anion corrections = -1.0140 eV per atom; crystal system = tetragonal
1.0
5.593 0.000 0.000
0.000 5.593 0.000
0.000 0.000 5.341
Rb Bi S Cl
1 1 1 2
Cartesian
0.000 0.000 0.000 Rb
2.796 2.796 2.671 Bi
2.796 2.796 0.000 S
0.000 2.796 2.671 Cl
2.796 0.000 2.671 Cl


# 5
Rb2BiSCl3 GGA-PBE optimized geometry; calculated density = 3.43 g cm⁻³; formation energy without anion corrections = -1.3042 eV per atom; crystal system = orthorhombic
1.0
5.405 0.000 0.000
0.000 5.560 0.000
0.000 0.000 16.691
Rb Bi S Cl
4 2 2 6
Cartesian
0.000 0.000 2.274 Rb
0.000 0.000 14.417 Rb
2.703 2.780 6.071 Rb
2.703 2.780 10.619 Rb
0.000 0.000 8.345 Bi
2.703 2.780 0.000 Bi
0.000 2.780 0.000 S
2.703 0.000 8.345 S
0.000 0.000 5.567 Cl
0.000 0.000 11.123 Cl
0.000 2.780 8.345 Cl
2.703 0.000 0.000 Cl
2.703 2.780 2.778 Cl
2.703 2.780 13.913 Cl


# 6
RbBiSCl2 GGA-PBE optimized geometry; calculated density = 3.64 g cm⁻³; formation energy without anion corrections = 0.2460 eV per atom; crystal system = tetragonal
1.0
5.646 0.000 0.000
0.000 5.646 0.000
0.000 0.000 5.694
Rb Bi S Cl
1 1 1 2
Cartesian
0.000 0.000 0.000 Rb
2.823 2.823 2.847 Bi
0.000 0.000 2.847 S
0.000 2.823 0.000 Cl
2.823 0.000 0.000 Cl


# 7
RbScBi2Cl GGA-PBE optimized geometry; calculated density = 5.51 g cm⁻³; formation energy without anion corrections = -0.0867 eV per atom; crystal system = tetragonal
1.0
6.102 0.000 0.000
0.000 6.102 0.000
0.000 0.000 4.727
Rb Sc Bi Cl
1 1 2 1
Cartesian
0.000 0.000 0.000 Rb
3.051 3.051 0.000 Sc
0.000 3.051 2.363 Bi
3.051 0.000 2.363 Bi
3.051 3.051 2.363 Cl


# 8
RbBi2SeCl GGA-PBE optimized geometry; calculated density = 3.89 g cm⁻³; formation energy without anion corrections = 1.0292 eV per atom; crystal system = tetragonal
1.0
6.688 0.000 0.000
0.000 6.688 0.000
0.000 0.000 5.902
Rb Bi Se Cl
1 2 1 1
Cartesian
0.000 0.000 0.000 Rb
0.000 3.344 0.000 Bi
3.344 0.000 0.000 Bi
0.000 0.000 2.951 Se
3.344 3.344 2.951 Cl


# 9
Rb2SiBiCl6 GGA-PBE optimized geometry; calculated density = 3.27 g cm⁻³; formation energy without anion corrections = -1.1395 eV per atom; crystal system = tetragonal
1.0
-3.812 3.812 5.416
3.812 -3.812 5.416
3.812 3.812 -5.416
Rb Si Bi Cl
2 1 1 6
Cartesian
3.812 0.000 2.708 Rb
0.000 3.812 2.708 Rb
0.000 0.000 0.000 Si
0.000 0.000 5.416 Bi
0.000 0.000 2.574 Cl
1.814 1.814 0.000 Cl
1.998 -1.998 5.416 Cl
-1.998 1.998 5.416 Cl
0.000 0.000 8.258 Cl
1.998 1.998 5.416 Cl


# 10
Rb2SnBiCl6 GGA-PBE optimized geometry; calculated density = 3.32 g cm⁻³; formation energy without anion corrections = -1.2552 eV per atom; crystal system = tetragonal
1.0
-3.971 3.971 5.647
3.971 -3.971 5.647
3.971 3.971 -5.647
Rb Sn Bi Cl
2 1 1 6
Cartesian
3.971 0.000 2.823 Rb
0.000 3.971 2.823 Rb
0.000 0.000 0.000 Sn
0.000 0.000 5.647 Bi
0.000 0.000 2.822 Cl
1.990 1.990 0.000 Cl
1.981 -1.981 5.647 Cl
-1.981 1.981 5.647 Cl
1.981 1.981 5.647 Cl
0.000 0.000 8.472 Cl


# 11
RbSrBiCl6 GGA-PBE optimized geometry; calculated density = 2.90 g cm⁻³; formation energy without anion corrections = -1.7368 eV per atom; crystal system = trigonal
1.0
7.447 0.000 0.000
-3.723 6.449 0.000
0.000 0.000 14.171
Rb Sr Bi Cl
2 2 2 12
Cartesian
0.000 0.000 0.000 Rb
0.000 0.000 7.085 Rb
0.000 4.299 3.543 Sr
3.723 2.150 10.628 Sr
0.000 4.299 10.628 Bi
3.723 2.150 3.543 Bi
-1.275 2.437 9.066 Cl
-2.250 4.126 12.190 Cl
1.275 2.437 12.190 Cl
-0.975 6.335 9.066 Cl
2.748 0.114 1.980 Cl
1.473 2.323 5.105 Cl
2.250 4.126 9.066 Cl
0.975 6.335 12.190 Cl
4.699 0.114 5.105 Cl
2.448 4.012 1.980 Cl
5.974 2.323 1.980 Cl
4.999 4.012 5.105 Cl


# 12
Rb2TaBiCl6 GGA-PBE optimized geometry; calculated density = 3.66 g cm⁻³; formation energy without anion corrections = -1.1132 eV per atom; crystal system = tetragonal
1.0
-3.751 3.751 6.242
3.751 -3.751 6.242
3.751 3.751 -6.242
Rb Ta Bi Cl
2 1 1 6
Cartesian
3.751 0.000 3.121 Rb
0.000 3.751 3.121 Rb
0.000 0.000 0.000 Ta
0.000 0.000 6.242 Bi
0.000 0.000 2.458 Cl
1.740 1.740 0.000 Cl
2.011 -2.011 6.242 Cl
-2.011 2.011 6.242 Cl
2.011 2.011 6.242 Cl
0.000 0.000 10.025 Cl